w | Compound: MnHg4S5
Source: the Alexandria database
Functional: PBE-GGA
Structure: optimized geometry

Summary:
The calculation puts the density of states at the Fermi level at 0.6 states/eV per cell.

Cell: 4.1871 4.1871 34.1221 Å, 90.00 90.00 120.00°
Space group P3m1 (No. 156)
Unique sites:
Mn 0.0000 0.0000 0.0000
Mn 0.0000 0.0000 0.1923
Hg 0.0000 0.0000 0.3893
Hg 0.0000 0.0000 0.5943
Hg 0.0000 0.0000 0.7994
Hg 0.3333 0.6667 0.0940
Hg 0.3333 0.6667 0.2864
Hg 0.3333 0.6667 0.4918
Hg 0.3333 0.6667 0.6968
Hg 0.3333 0.6667 0.9018
S 0.0000 0.0000 0.1217
S 0.0000 0.0000 0.3132
S 0.0000 0.0000 0.5184
S 0.0000 0.0000 0.7236
S 0.0000 0.0000 0.9297
S 0.3333 0.6667 0.0181
S 0.3333 0.6667 0.2102
S 0.3333 0.6667 0.4158
S 0.3333 0.6667 0.6210
S 0.3333 0.6667 0.8263

***

x | Compound: MnHg4S5
Source: the Alexandria database
Functional: PBE-GGA
Structure: optimized geometry

Summary:
The calculation puts the density of states at the Fermi level at 2.0 states/eV per cell.

Cell: 4.1747 4.1747 29.6322 Å, 90.00 90.00 90.00°
Space group I-4m2 (No. 119)
Unique sites:
Mn 0.0000 0.0000 0.0000
Hg 0.0000 0.0000 0.1983
Hg 0.0000 0.0000 0.4052
S 0.0000 0.5000 0.0420
S 0.0000 0.5000 0.2500
S 0.0000 0.5000 0.6464

***

y | Compound: MnHg4S5
Source: the Alexandria database
Functional: PBE-GGA
Structure: optimized geometry

Summary:
The calculation puts the density of states at the Fermi level at 3.9 states/eV per cell.

Cell: 8.4269 8.4269 6.7167 Å, 90.00 90.00 90.00°
Space group I4 (No. 79)
Unique sites:
Mn 0.0000 0.0000 0.0000
Hg 0.0028 0.2936 0.4719
S 0.0000 0.0000 0.6331
S 0.0013 0.2809 0.0873

***

Unit: meV per atom. Relative energies: w 11; x 0; y 94.